! ZrTaNb, optimized geometry, DFT PBE; values from VASP
! Distance to the lowest polymorph of the same formula ... 0 meV per atom
! Spin magnetization ... 0.00 μB/atom
&SYSTEM
  ibrav = 0, nat = 12, ntyp = 3
/
ATOMIC_SPECIES
Zr 91.22 Zr.upf
Ta 180.95 Ta.upf
Nb 92.91 Nb.upf
ATOMIC_POSITIONS angstrom
Zr 0.000 1.419 0.990
Zr 0.000 4.258 6.901
Zr 2.723 1.419 2.955
Zr 2.723 4.258 4.936
Ta 0.000 0.000 3.945
Ta 0.000 2.839 3.945
Ta 2.723 0.000 0.000
Ta 2.723 2.839 0.000
Nb 1.362 1.419 5.918
Nb 1.362 4.258 1.973
Nb 4.085 1.419 5.918
Nb 4.085 4.258 1.973
CELL_PARAMETERS angstrom
5.446 0.000 0.000
0.000 5.678 0.000
0.000 0.000 7.891



! La3Er4Tl2, optimized geometry, DFT PBE; values from VASP
! Total energy ... -4.2580 eV/atom
! Spin magnetization ... 0.00 μB/atom
&SYSTEM
  ibrav = 0, nat = 18, ntyp = 3
/
ATOMIC_SPECIES
La 138.91 La.upf
Er 167.26 Er.upf
Tl 204.38 Tl.upf
ATOMIC_POSITIONS angstrom
La 6.274 5.932 4.795
La 4.605 0.803 5.897
La 5.178 -0.803 2.701
La 7.944 0.803 3.693
La 8.516 -0.803 0.496
La 6.847 -5.932 1.598
Er 2.481 2.100 0.590
Er 5.432 2.878 2.719
Er 1.909 -2.100 3.787
Er 8.262 2.878 0.478
Er 4.859 -2.878 5.916
Er 11.213 2.100 2.607
Er 7.689 -2.878 3.675
Er 10.640 -2.100 5.804
Tl 2.424 1.099 3.634
Tl 2.997 -1.099 0.437
Tl 10.125 1.099 5.956
Tl 10.698 -1.099 2.759
CELL_PARAMETERS angstrom
7.134 -6.320 0.000
7.134 6.320 0.000
-1.146 0.000 6.394



Q: spin magnetization of number 1 (ZrTaNb)?
A: 0.00 μB/atom